The following is a meta-GGA SCAN calculation of a PBEsol-optimized structure of InPt5, from Alexandria via LeMat-Bulk.

space-group type = Cm, No. 8

Lattice parameters (Å, degrees): 2.8083 5.4694 6.6184 106.63 90.00 104.88
Fractional coordinates of all 6 atoms:
Pt1 0.3862 0.7724 0.2764
Pt2 0.6676 0.3351 0.3367
Pt3 0.0529 0.1058 0.6019
Pt4 0.3369 0.6738 0.6721
Pt5 0.7206 0.4413 0.9417
In1 0.0025 0.0050 0.0045

=====

The following is a meta-GGA SCAN calculation of a PBEsol-optimized structure of Co2HgPt, from Alexandria via LeMat-Bulk.

space-group type = I-4m2, No. 119

Lattice parameters (Å, degrees): 3.7858 3.7858 4.7206 113.64 113.64 90.00
Fractional coordinates of all 4 atoms:
Co1 0.0000 0.0000 0.0000
Co2 0.7500 0.2500 0.5000
Hg1 0.5000 0.5000 0.0000
Pt1 0.2500 0.7500 0.5000

=====

Per-record energy of formation, meV/atom: -121 185
Per-record E, eV per cell: -385.07 -172.23